P:
# KBaCr2

A geometry-optimized KBaCr2 structure (GGA-PBEsol, Alexandria).

**Total magnetic moment**: 39.0 μB/cell

Unit cell a=7.9795 b=7.9795 c=7.9795 alpha=90.00 beta=90.00 gamma=90.00
Last column: nearest neighbours and their distance in Å.
Space group F-43m (No. 216)
Asymmetric unit:
1 K 0.0000 0.0000 0.0000 (multiplicity 4)  4 Cr 3.46, 4 Ba 3.46
2 Ba 0.2500 0.2500 0.2500 (multiplicity 4)  4 K 3.46, 4 Cr 3.46
3 Cr 0.0000 0.0000 0.5000 (multiplicity 4)  4 Ba 3.46, 4 Cr 3.46
4 Cr 0.2500 0.2500 0.7500 (multiplicity 4)  4 Cr 3.46, 4 K 3.46

***

Q:
# KBaCr2

A geometry-optimized KBaCr2 structure (GGA-PBEsol, Alexandria).

**Total magnetic moment**: 10.1 μB/cell

Unit cell a=5.8209 b=5.8209 c=4.0740 alpha=90.00 beta=90.00 gamma=90.00
Last column: nearest neighbours and their distance in Å.
Space group P4/mmm (No. 123)
Asymmetric unit:
1 K 0.0000 0.0000 0.0000 (multiplicity 1)  8 Cr 3.55
2 Ba 0.5000 0.5000 0.0000 (multiplicity 1)  8 Cr 3.55
3 Cr 0.0000 0.5000 0.5000 (multiplicity 2)  4 Ba 3.55, 4 K 3.55

***

What are the relative energies? In meV per atom: P 8; Q 0.

***

P:
# MgZnAs2

A geometry-optimized MgZnAs2 structure (GGA-PBEsol, Alexandria).

**Total magnetic moment**: 0.0 μB/cell

Unit cell a=3.8742 b=4.8181 c=7.7752 alpha=90.00 beta=90.00 gamma=90.00
Last column: nearest neighbours and their distance in Å.
Space group Immm (No. 71)
Asymmetric unit:
1 Mg 0.0000 0.0000 0.0000 (multiplicity 2)  8 As 2.86-3.00, 4 Zn 3.09
2 Zn 0.0000 0.0000 0.5000 (multiplicity 2)  4 As 2.63
3 As 0.0000 0.5000 0.2297 (multiplicity 4)  2 Zn 2.63, 2 Mg 2.86

***

Q:
# MgZnAs2

A geometry-optimized MgZnAs2 structure (GGA-PBEsol, Alexandria).

**Total magnetic moment**: 0.0 μB/cell

Unit cell a=3.5610 b=4.0664 c=10.1454 alpha=90.00 beta=90.00 gamma=90.00
Last column: nearest neighbours and their distance in Å.
Space group Imm2 (No. 44)
Asymmetric unit:
1 Mg 0.0000 0.0000 0.0000 (multiplicity 2)  6 As 2.70-2.94, 2 Zn 2.98
2 Zn 0.0000 0.5000 0.7849 (multiplicity 2)  6 As 2.80-2.81, 2 Mg 2.98
3 As 0.0000 0.0000 0.4977 (multiplicity 2)  4 Mg 2.70, 2 As 2.79, 2 Zn 2.80
4 As 0.0000 0.5000 0.2097 (multiplicity 2)  2 As 2.79, 4 Zn 2.81, 2 Mg 2.94

***

What are the relative energies? In meV per atom: P 11; Q 0.

***

P:
# Ba2TaIn

A geometry-optimized Ba2TaIn structure (GGA-PBEsol, Alexandria).

**Total magnetic moment**: 0.4 μB/cell

Unit cell a=3.8227 b=3.8227 c=9.4206 alpha=90.00 beta=90.00 gamma=90.00
Last column: nearest neighbours and their distance in Å.
Space group P4mm (No. 99)
Asymmetric unit:
1 Ba 0.0000 0.0000 0.0000 (multiplicity 1)  1 In 3.33, 4 Ta 3.63
2 Ba 0.5000 0.5000 0.3959 (multiplicity 1)  1 Ta 3.27, 4 In 3.59
3 Ta 0.5000 0.5000 0.7431 (multiplicity 1)  4 In 2.85
4 In 0.0000 0.0000 0.6470 (multiplicity 1)  4 Ta 2.85

***

Q:
# Ba2TaIn

A geometry-optimized Ba2TaIn structure (GGA-PBEsol, Alexandria).

**Total magnetic moment**: 1.3 μB/cell

Unit cell a=3.3019 b=5.1924 c=7.0960 alpha=90.00 beta=90.00 gamma=90.00
Last column: nearest neighbours and their distance in Å.
Space group Pmmm (No. 47)
Asymmetric unit:
1 Ba 0.0000 0.0000 0.2467 (multiplicity 2)  4 Ba 3.30-3.59, 4 Ta 3.54, 4 In 3.56
2 Ta 0.5000 0.5000 0.0000 (multiplicity 1)  2 Ta 3.30, 8 Ba 3.54, 2 In 3.55
3 In 0.5000 0.5000 0.5000 (multiplicity 1)  2 In 3.30, 2 Ta 3.55, 8 Ba 3.56

***

What are the relative energies? In meV per atom: P 0; Q 277.

***

P:
# MgBeRe2

A geometry-optimized MgBeRe2 structure (GGA-PBEsol, Alexandria).

**Total magnetic moment**: 0.0 μB/cell

Unit cell a=2.9865 b=2.9865 c=6.4035 alpha=90.00 beta=90.00 gamma=90.00
Last column: nearest neighbours and their distance in Å.
Space group P4mm (No. 99)
Asymmetric unit:
1 Mg 0.0000 0.0000 0.0000 (multiplicity 1)  4 Be 2.74, 5 Re 2.87-3.01, 4 Mg 2.99
2 Be 0.5000 0.5000 0.7262 (multiplicity 1)  5 Re 2.46-2.70, 4 Mg 2.74
3 Re 0.0000 0.0000 0.5304 (multiplicity 1)  4 Be 2.46, 4 Re 2.56
4 Re 0.5000 0.5000 0.3040 (multiplicity 1)  4 Re 2.56, 1 Be 2.70

***

Q:
# MgBeRe2

A geometry-optimized MgBeRe2 structure (GGA-PBEsol, Alexandria).

**Total magnetic moment**: 0.0 μB/cell

Unit cell a=3.6450 b=3.6450 c=8.4065 alpha=90.00 beta=90.00 gamma=90.00
Last column: nearest neighbours and their distance in Å.
Space group I4/mmm (No. 139)
Asymmetric unit:
1 Mg 0.0000 0.0000 0.0000 (multiplicity 2)  4 Be 2.58, 8 Re 2.78
2 Be 0.0000 0.0000 0.5000 (multiplicity 2)  4 Mg 2.58, 8 Re 2.78
3 Re 0.0000 0.5000 0.2500 (multiplicity 4)  4 Re 2.58, 4 Be 2.78, 4 Mg 2.78

***

What are the relative energies? In meV per atom: P 0; Q 365.

***

P:
# La2Sc

A geometry-optimized La2Sc structure (GGA-PBEsol, Alexandria).

**Total magnetic moment**: 0.0 μB/cell

Unit cell a=10.6742 b=6.1677 c=6.6561 alpha=90.00 beta=123.03 gamma=90.00
Last column: nearest neighbours and their distance in Å.
Space group C2/c (No. 15)
Asymmetric unit:
1 La 0.1705 0.0918 0.2299 (multiplicity 8)  5 Sc 3.42-3.77, 7 La 3.43-3.79
2 Sc 0.0000 0.4362 0.7500 (multiplicity 4)  10 La 3.42-3.77, 2 Sc 3.42

***

Q:
# La2Sc

A geometry-optimized La2Sc structure (GGA-PBEsol, Alexandria).

**Total magnetic moment**: 0.0 μB/cell

Unit cell a=3.4967 b=4.9815 c=10.3061 alpha=90.00 beta=90.00 gamma=90.00
Last column: nearest neighbours and their distance in Å.
Space group Immm (No. 71)
Asymmetric unit:
1 La 0.0000 0.0000 0.1692 (multiplicity 4)  5 Sc 3.41-3.51, 7 La 3.47-3.50
2 Sc 0.0000 0.0000 0.5000 (multiplicity 2)  10 La 3.41-3.51, 2 Sc 3.50

***

R:
# La2Sc

A geometry-optimized La2Sc structure (GGA-PBEsol, Alexandria).

**Total magnetic moment**: 0.0 μB/cell

Unit cell a=12.8378 b=3.5373 c=8.3346 alpha=90.00 beta=104.94 gamma=90.00
Last column: nearest neighbours and their distance in Å.
Space group Cm (No. 8)
Asymmetric unit:
1 La 0.0000 0.0000 0.0000 (multiplicity 2)  5 Sc 3.43-3.47, 7 La 3.52-3.56
2 La 0.0490 0.0000 0.5990 (multiplicity 2)  8 La 3.39-3.61, 4 Sc 3.54-3.68
3 La 0.1735 0.5000 0.3275 (multiplicity 2)  4 Sc 3.32-3.62, 8 La 3.51-3.56
4 La 0.3214 0.0000 0.6759 (multiplicity 2)  9 La 3.39-3.61, 3 Sc 3.42-3.75
5 Sc 0.2234 0.5000 0.9560 (multiplicity 2)  8 La 3.32-3.68, 4 Sc 3.33-3.54
6 Sc 0.3836 0.0000 0.2607 (multiplicity 2)  4 Sc 3.33-3.54, 7 La 3.39-3.62

***

What are the relative energies? In meV per atom: P 28; Q 0; R 40.

***

P:
# Li2CaCd

A geometry-optimized Li2CaCd structure (GGA-PBEsol, Alexandria).

**Total magnetic moment**: 0.0 μB/cell

Unit cell a=3.5938 b=3.5938 c=7.2733 alpha=90.00 beta=90.00 gamma=90.00
Last column: nearest neighbours and their distance in Å.
Space group P4mm (No. 99)
Asymmetric unit:
1 Li 0.0000 0.0000 0.0000 (multiplicity 1)  4 Cd 2.90, 4 Li 2.96
2 Li 0.5000 0.5000 0.2088 (multiplicity 1)  1 Cd 2.91, 4 Li 2.96
3 Ca 0.0000 0.0000 0.5319 (multiplicity 1)  4 Cd 3.24, 5 Li 3.40-3.46, 4 Ca 3.59
4 Cd 0.5000 0.5000 0.8087 (multiplicity 1)  5 Li 2.90-2.91, 4 Ca 3.24

***

Q:
# Li2CaCd

A geometry-optimized Li2CaCd structure (GGA-PBEsol, Alexandria).

**Total magnetic moment**: 0.0 μB/cell

Unit cell a=4.5126 b=4.5126 c=9.1030 alpha=90.00 beta=90.00 gamma=90.00
Last column: nearest neighbours and their distance in Å.
Space group I-4m2 (No. 119)
Asymmetric unit:
1 Li 0.0000 0.0000 0.0000 (multiplicity 2)  4 Ca 3.19, 4 Cd 3.20, 4 Li 3.20
2 Li 0.0000 0.5000 0.2500 (multiplicity 2)  4 Cd 3.19, 4 Li 3.20, 4 Ca 3.20
3 Ca 0.0000 0.0000 0.5000 (multiplicity 2)  8 Li 3.19-3.20, 4 Cd 3.20
4 Cd 0.0000 0.5000 0.7500 (multiplicity 2)  8 Li 3.19-3.20, 4 Ca 3.20

***

What are the relative energies? In meV per atom: P 0; Q 19.

***

P:
# Zr5Rh3

A geometry-optimized Zr5Rh3 structure (GGA-PBEsol, Alexandria).

**Total magnetic moment**: 0.0 μB/cell

Unit cell a=7.8361 b=7.8361 c=16.9022 alpha=90.00 beta=90.00 gamma=120.00
Last column: nearest neighbours and their distance in Å.
Space group P6_122 (No. 178)
Asymmetric unit:
1 Zr 0.0000 0.2526 0.3333 (multiplicity 6)  5 Rh 2.69-2.86
2 Zr 0.0122 0.2349 0.9952 (multiplicity 12)  4 Rh 2.70-2.99
3 Zr 0.2383 0.6191 0.5833 (multiplicity 6)  6 Rh 2.69-2.97, 2 Zr 2.90
4 Zr 0.3186 0.6593 0.0833 (multiplicity 6)  6 Rh 2.77-2.89, 2 Zr 2.90
5 Rh 0.0000 0.3826 0.8333 (multiplicity 6)  9 Zr 2.70-2.99, 2 Rh 2.91
6 Rh 0.0324 0.4239 0.1917 (multiplicity 12)  8 Zr 2.69-2.87, 1 Rh 2.91

***

Q:
# Zr5Rh3

A geometry-optimized Zr5Rh3 structure (GGA-PBEsol, Alexandria).

**Total magnetic moment**: 0.0 μB/cell

Unit cell a=10.3911 b=10.3911 c=5.4964 alpha=90.00 beta=90.00 gamma=90.00
Last column: nearest neighbours and their distance in Å.
Space group I4/mcm (No. 140)
Asymmetric unit:
1 Zr 0.0000 0.5000 0.2500 (multiplicity 4)  2 Zr 2.75, 4 Rh 2.83
2 Zr 0.0785 0.2163 0.0000 (multiplicity 16)  4 Rh 2.68-2.83
3 Rh 0.0000 0.0000 0.2500 (multiplicity 4)  2 Rh 2.75, 8 Zr 2.76
4 Rh 0.1685 0.3315 0.5000 (multiplicity 8)  6 Zr 2.68-2.83

***

What are the relative energies? In meV per atom: P 0; Q 23.

***

P:
# ScRe2Au

A geometry-optimized ScRe2Au structure (GGA-PBEsol, Alexandria).

**Total magnetic moment**: 0.0 μB/cell

Unit cell a=2.7978 b=2.7978 c=28.5683 alpha=90.00 beta=90.00 gamma=120.00
Last column: nearest neighbours and their distance in Å.
Space group R-3m (No. 166, hexagonal axes)
Asymmetric unit:
1 Sc 0.0000 0.0000 0.0000 (multiplicity 3)  6 Sc 2.80, 6 Re 2.91
2 Re 0.0000 0.0000 0.2488 (multiplicity 6)  6 Re 2.80, 3 Au 2.85, 3 Sc 2.91
3 Au 0.0000 0.0000 0.5000 (multiplicity 3)  6 Au 2.80, 6 Re 2.85

***

Q:
# ScRe2Au

A geometry-optimized ScRe2Au structure (GGA-PBEsol, Alexandria).

**Total magnetic moment**: 0.0 μB/cell

Unit cell a=5.5188 b=8.5516 c=2.6962 alpha=90.00 beta=90.00 gamma=90.00
Last column: nearest neighbours and their distance in Å.
Space group Cmmm (No. 65)
Asymmetric unit:
1 Sc 0.0000 0.0000 0.0000 (multiplicity 2)  2 Sc 2.70, 2 Au 2.76, 8 Re 2.88
2 Re 0.2500 0.2500 0.5000 (multiplicity 4)  4 Re 2.70-2.76, 4 Sc 2.88, 4 Au 2.88
3 Au 0.0000 0.5000 0.0000 (multiplicity 2)  2 Au 2.70, 2 Sc 2.76, 8 Re 2.88

***

What are the relative energies? In meV per atom: P 141; Q 0.